No. 1
Below is BaZrTe after structural relaxation, with properties calculated at the GGA-PBEsol level.

## Properties
DOS at the Fermi energy = 3.7 states/eV/f.u.
uncorrected formation energy = 0.1457 eV per atom
theoretical density = 6383 kg/m3
energy = -4.78 eV/atom
size of the total moment = 1.99 μB per formula unit

Lattice parameters (Å, degrees): 7.183 7.183 7.183 90.00 90.00 90.00
Space group F-43m (No. 216)
Symmetry-distinct sites (fractional):
Ba (0.000, 0.000, 0.000) x4
Zr (0.250, 0.250, 0.250) x4
Te (0.000, 0.000, 0.500) x4



No. 2
Below is BaZrTe after structural relaxation, with properties calculated at the GGA-PBEsol level.

## Properties
DOS at the Fermi energy = 4.2 states/eV/f.u.
uncorrected formation energy = 0.6391 eV per atom
theoretical density = 5052 kg/m3
energy = -4.28 eV/atom
size of the total moment = 3.98 μB per formula unit

Lattice parameters (Å, degrees): 7.766 7.766 7.766 90.00 90.00 90.00
Space group F-43m (No. 216)
Symmetry-distinct sites (fractional):
Ba (0.000, 0.000, 0.000) x4
Zr (0.250, 0.250, 0.750) x4
Te (0.250, 0.250, 0.250) x4



No. 3
Below is Ba2ZrTe after structural relaxation, with properties calculated at the GGA-PBEsol level.

## Properties
DOS at the Fermi energy = 5.4 states/eV/f.u.
uncorrected formation energy = -0.0083 eV per atom
theoretical density = 6269 kg/m3
energy = -4.24 eV/atom
size of the total moment = 2.12 μB per formula unit

Lattice parameters (Å, degrees): 4.929 4.929 10.762 90.00 90.00 90.00
Space group I4/mmm (No. 139)
Symmetry-distinct sites (fractional):
Ba (0.000, 0.500, 0.250) x4
Zr (0.000, 0.000, 0.000) x2
Te (0.000, 0.000, 0.500) x2



No. 4
Below is BaZr2Te after structural relaxation, with properties calculated at the GGA-PBEsol level.

## Properties
DOS at the Fermi energy = 5.4 states/eV/f.u.
uncorrected formation energy = 0.0571 eV per atom
theoretical density = 6909 kg/m3
energy = -5.91 eV/atom
size of the total moment = 0.00 μB per formula unit

Lattice parameters (Å, degrees): 6.550 10.697 3.735 90.00 124.75 90.00
Space group C2/m (No. 12)
Symmetry-distinct sites (fractional):
Ba (0.000, 0.000, 0.000) x2
Zr (0.250, 0.250, 0.000) x4
Te (0.000, 0.500, 0.000) x2